(1)
Material: LaPm8Cd2
Method: DFT, PBE-GGA
State: relaxed

## Properties
Theoretical density, g/cm³: 6.3
Final energy, eV/atom: -3.78
ΔH_f (0 K), kcal/mol of atoms: 6.743
ΔE to the lowest computed polymorph, meV per atom: 364

a b c (Å): 8.8948 8.8948 5.4021
angles (deg): 99.26 99.26 74.91
Fractional coordinates of all 11 atoms:
La1 0.0000 0.0000 0.0000
Pm1 0.1655 0.6317 0.2161
Pm2 0.2397 0.2397 0.1280
Pm3 0.3683 0.8345 0.7839
Pm4 0.4139 0.4139 0.7069
Pm5 0.5861 0.5861 0.2931
Pm6 0.6317 0.1655 0.2161
Pm7 0.7603 0.7603 0.8720
Pm8 0.8345 0.3683 0.7839
Cd1 0.1322 0.1322 0.5609
Cd2 0.8678 0.8678 0.4391

(2)
Material: Co2Si
Method: DFT, PBE-GGA
State: relaxed

## Properties
Theoretical density, g/cm³: 7.3
Final energy, eV/atom: -6.83
Formation energy without anion corrections, eV/atom: -0.283

a b c (Å): 3.8360 3.8360 2.5925
angles (deg): 90.00 90.00 120.00
Fractional coordinates of all 3 atoms:
Co1 0.3333 0.6667 0.2297
Co2 0.6667 0.3333 0.7703
Si1 0.0000 0.0000 0.5000

(3)
Material: Dy4Ho15Mg
Method: DFT, PBE-GGA
State: relaxed

## Properties
Theoretical density, g/cm³: 8.5
Final energy, eV/atom: -4.41
ΔH_f (0 K), kcal/mol of atoms: 0.453

a b c (Å): 4.9671 4.9671 24.8930
angles (deg): 90.00 90.00 90.00
Fractional coordinates of all 20 atoms:
Dy1 0.0000 0.0000 0.1006
Dy2 0.0000 0.0000 0.3019
Dy3 0.0000 0.0000 0.6981
Dy4 0.0000 0.0000 0.8994
Ho1 0.0000 0.5000 0.0000
Ho2 0.0000 0.5000 0.2012
Ho3 0.0000 0.5000 0.4017
Ho4 0.0000 0.5000 0.5983
Ho5 0.0000 0.5000 0.7988
Ho6 0.5000 0.0000 0.0000
Ho7 0.5000 0.0000 0.2012
Ho8 0.5000 0.0000 0.4017
Ho9 0.5000 0.0000 0.5983
Ho10 0.5000 0.0000 0.7988
Ho11 0.5000 0.5000 0.1009
Ho12 0.5000 0.5000 0.3035
Ho13 0.5000 0.5000 0.5000
Ho14 0.5000 0.5000 0.6965
Ho15 0.5000 0.5000 0.8991
Mg1 0.0000 0.0000 0.5000

(4)
Material: La3NpN5
Method: DFT, PBE-GGA
State: relaxed

## Properties
Theoretical density, g/cm³: 7.9
Final energy, eV/atom: -8.59
Formation energy without anion corrections, eV/atom: -0.886

a b c (Å): 7.9889 7.9889 7.9889
angles (deg): 128.36 128.36 76.04
Fractional coordinates of all 18 atoms:
La1 0.1783 0.6783 0.8565
La2 0.2500 0.2500 0.0000
La3 0.3217 0.1783 0.5000
La4 0.6783 0.8217 0.5000
La5 0.7500 0.7500 0.0000
La6 0.8217 0.3217 0.1435
Np1 0.2500 0.7500 0.5000
Np2 0.7500 0.2500 0.5000
N1 0.0000 0.0000 0.0000
N2 0.0131 0.1961 0.5000
N3 0.1961 0.6961 0.1830
N4 0.3039 0.4869 0.5000
N5 0.4869 0.9869 0.1830
N6 0.5000 0.5000 0.0000
N7 0.5131 0.0131 0.8170
N8 0.6961 0.5131 0.5000
N9 0.8039 0.3039 0.8170
N10 0.9869 0.8039 0.5000

(5)
Material: Pm2PrDyEr2
Method: DFT, PBE-GGA
State: relaxed

## Properties
Theoretical density, g/cm³: 7.7
Final energy, eV/atom: -4.40
ΔH_f (0 K), kcal/mol of atoms: 6.151

a b c (Å): 6.6740 17.7073 3.4030
angles (deg): 90.00 90.00 90.00
Fractional coordinates of all 12 atoms:
Pm1 0.2270 0.1527 0.0000
Pm2 0.2730 0.6527 0.5000
Pm3 0.7270 0.3473 0.5000
Pm4 0.7730 0.8473 0.0000
Pr1 0.0000 0.5000 0.5000
Pr2 0.5000 0.0000 0.0000
Dy1 0.0000 0.0000 0.5000
Dy2 0.5000 0.5000 0.0000
Er1 0.2323 0.3217 0.5000
Er2 0.2677 0.8217 0.0000
Er3 0.7323 0.1783 0.0000
Er4 0.7677 0.6783 0.5000

(6)
Material: BeHg2As
Method: DFT, PBE-GGA
State: relaxed

## Properties
Theoretical density, g/cm³: 10.0
Final energy, eV/atom: -1.95
ΔH_f (0 K), kcal/mol of atoms: 6.855
ΔE to the lowest computed polymorph, meV per atom: 238

a b c (Å): 6.5815 6.5815 6.5815
angles (deg): 153.33 140.95 47.92
Fractional coordinates of all 4 atoms:
Be1 0.0000 0.0000 0.0000
Hg1 0.2076 0.7076 0.5000
Hg2 0.5244 0.5244 0.0000
As1 0.8482 0.3482 0.5000

(7)
Material: Mg2PBr
Method: DFT, PBE-GGA
State: relaxed

## Properties
Theoretical density, g/cm³: 3.2
Final energy, eV/atom: -2.92
ΔE to the lowest computed polymorph, meV per atom: 542
Formation energy without anion corrections, eV/atom: -0.353

a b c (Å): 3.4002 4.4656 5.4507
angles (deg): 90.00 90.00 90.00
Fractional coordinates of all 4 atoms:
Mg1 0.0000 0.0000 0.0000
Mg2 0.0000 0.5000 0.5000
P1 0.5000 0.0000 0.5000
Br1 0.5000 0.5000 0.0000

(8)
Material: SrLiPuN3
Method: DFT, PBE-GGA
State: relaxed

## Properties
Theoretical density, g/cm³: 7.1
Final energy, eV/atom: -7.96
Formation energy without anion corrections, eV/atom: -0.808

a b c (Å): 7.1699 3.5685 7.2346
angles (deg): 90.00 106.56 90.00
Fractional coordinates of all 12 atoms:
Sr1 0.2387 0.2500 0.2041
Sr2 0.7613 0.7500 0.7959
Li1 0.4123 0.7500 0.9251
Li2 0.5877 0.2500 0.0749
Pu1 0.1596 0.2500 0.6825
Pu2 0.8404 0.7500 0.3175
N1 0.1288 0.7500 0.4424
N2 0.1345 0.7500 0.8611
N3 0.4426 0.2500 0.7926
N4 0.5574 0.7500 0.2074
N5 0.8655 0.2500 0.1389
N6 0.8712 0.2500 0.5576

(9)
Material: TiNi7Sb2P2
Method: DFT, PBE-GGA
State: relaxed

## Properties
Theoretical density, g/cm³: 7.1
Final energy, eV/atom: -5.97
Formation energy without anion corrections, eV/atom: -0.356

a b c (Å): 14.0118 14.0118 14.0118
angles (deg): 165.19 165.19 21.01
Fractional coordinates of all 12 atoms:
Ti1 0.0000 0.0000 0.0000
Ni1 0.0665 0.5665 0.5000
Ni2 0.3066 0.3066 0.0000
Ni3 0.4335 0.9335 0.5000
Ni4 0.5000 0.5000 0.0000
Ni5 0.5665 0.0665 0.5000
Ni6 0.6934 0.6934 0.0000
Ni7 0.9335 0.4335 0.5000
Sb1 0.2109 0.2109 0.0000
Sb2 0.7891 0.7891 0.0000
P1 0.3859 0.3859 0.0000
P2 0.6141 0.6141 0.0000

(10)
Material: LiEu2Ga
Method: DFT, PBE-GGA
State: relaxed

## Properties
Theoretical density, g/cm³: 4.8
Final energy, eV/atom: -6.13
ΔH_f (0 K), kcal/mol of atoms: 5.664

a b c (Å): 12.1333 12.1333 12.1333
angles (deg): 16.85 16.85 16.85
Fractional coordinates of all 4 atoms:
Li1 0.0000 0.0000 0.0000
Eu1 0.4130 0.4130 0.4130
Eu2 0.5870 0.5870 0.5870
Ga1 0.5000 0.5000 0.5000

(11)
Material: SrTe4Rh
Method: DFT, PBE-GGA
State: relaxed

## Properties
Theoretical density, g/cm³: 6.4
Final energy, eV/atom: -3.34
Formation energy without anion corrections, eV/atom: 0.264

a b c (Å): 6.3524 6.3524 6.3524
angles (deg): 60.00 60.00 60.00
Fractional coordinates of all 6 atoms:
Sr1 0.0000 0.0000 0.0000
Te1 0.1281 0.6240 0.6240
Te2 0.6240 0.1281 0.6240
Te3 0.6240 0.6240 0.1281
Te4 0.6240 0.6240 0.6240
Rh1 0.2500 0.2500 0.2500

(12)
Material: B5C7
Method: DFT, PBE-GGA
State: relaxed

## Properties
Theoretical density, g/cm³: 2.9
Final energy, eV/atom: -7.75
ΔH_f (0 K), kcal/mol of atoms: 9.611
ΔE to the lowest computed polymorph, meV per atom: 159

a b c (Å): 2.5795 7.8922 3.8786
angles (deg): 90.00 90.00 90.00
Fractional coordinates of all 12 atoms:
B1 0.0000 0.0000 0.0000
B2 0.0000 0.3336 0.9975
B3 0.0000 0.6664 0.9975
B4 0.5000 0.1654 0.4863
B5 0.5000 0.8346 0.4863
C1 0.0000 0.1732 0.7492
C2 0.0000 0.5000 0.7259
C3 0.0000 0.8268 0.7492
C4 0.5000 0.0000 0.2514
C5 0.5000 0.3428 0.2655
C6 0.5000 0.5000 0.4962
C7 0.5000 0.6572 0.2655

(13)
Material: CsSn3Pb3
Method: DFT, PBE-GGA
State: relaxed

## Properties
Theoretical density, g/cm³: 6.1
Final energy, eV/atom: -3.39
ΔH_f (0 K), kcal/mol of atoms: 0.844
ΔE to the lowest computed polymorph, meV per atom: 0

a b c (Å): 8.4750 8.4750 8.4750
angles (deg): 90.00 90.00 90.00
Fractional coordinates of all 14 atoms:
Cs1 0.0000 0.0000 0.0000
Cs2 0.5000 0.5000 0.5000
Sn1 0.0000 0.2500 0.5000
Sn2 0.0000 0.7500 0.5000
Sn3 0.2500 0.5000 0.0000
Sn4 0.5000 0.0000 0.2500
Sn5 0.5000 0.0000 0.7500
Sn6 0.7500 0.5000 0.0000
Pb1 0.0000 0.5000 0.2500
Pb2 0.0000 0.5000 0.7500
Pb3 0.2500 0.0000 0.5000
Pb4 0.5000 0.2500 0.0000
Pb5 0.5000 0.7500 0.0000
Pb6 0.7500 0.0000 0.5000

(14)
Material: K2Si2Sb
Method: DFT, PBE-GGA
State: relaxed

## Properties
Theoretical density, g/cm³: 3.0
Final energy, eV/atom: -3.41
ΔE to the lowest computed polymorph, meV per atom: 0
Formation energy without anion corrections, eV/atom: 0.028

a b c (Å): 11.6107 11.6107 11.6107
angles (deg): 162.62 162.62 24.67
Fractional coordinates of all 5 atoms:
K1 0.1138 0.1138 0.0000
K2 0.8862 0.8862 0.0000
Si1 0.2500 0.7500 0.5000
Si2 0.7500 0.2500 0.5000
Sb1 0.5000 0.5000 0.0000

(15)
Material: NaTh2Tl3Se6
Method: DFT, PBE-GGA
State: relaxed

## Properties
Theoretical density, g/cm³: 6.9
Final energy, eV/atom: -4.87
Formation energy without anion corrections, eV/atom: -1.185

a b c (Å): 10.2131 10.2131 9.2095
angles (deg): 107.98 107.98 24.58
Fractional coordinates of all 12 atoms:
Na1 0.0000 0.0000 0.0000
Th1 0.3382 0.3382 0.6798
Th2 0.6618 0.6618 0.3202
Tl1 0.0000 0.0000 0.5000
Tl2 0.3455 0.3455 0.1696
Tl3 0.6545 0.6545 0.8304
Se1 0.1691 0.1691 0.1133
Se2 0.1775 0.1775 0.5511
Se3 0.4838 0.4838 0.7570
Se4 0.5162 0.5162 0.2430
Se5 0.8225 0.8225 0.4489
Se6 0.8309 0.8309 0.8867

(16)
Material: K2ZrO3
Method: DFT, PBE-GGA
State: relaxed

## Properties
Theoretical density, g/cm³: 3.2
Final energy, eV/atom: -6.71
Formation energy without anion corrections, eV/atom: -2.441

a b c (Å): 5.9426 10.6229 7.0639
angles (deg): 90.00 90.00 90.00
Fractional coordinates of all 24 atoms:
K1 0.2355 0.0854 0.1141
K2 0.2355 0.4146 0.1141
K3 0.2645 0.5854 0.6141
K4 0.2645 0.9146 0.6141
K5 0.7355 0.0854 0.3859
K6 0.7355 0.4146 0.3859
K7 0.7645 0.5854 0.8859
K8 0.7645 0.9146 0.8859
Zr1 0.2202 0.7500 0.1588
Zr2 0.2798 0.2500 0.6588
Zr3 0.7202 0.7500 0.3412
Zr4 0.7798 0.2500 0.8412
O1 0.0173 0.1216 0.7303
O2 0.0173 0.3784 0.7303
O3 0.1592 0.7500 0.8895
O4 0.3408 0.2500 0.3895
O5 0.4827 0.6216 0.2303
O6 0.4827 0.8784 0.2303
O7 0.5173 0.1216 0.7697
O8 0.5173 0.3784 0.7697
O9 0.6592 0.7500 0.6105
O10 0.8408 0.2500 0.1105
O11 0.9827 0.6216 0.2697
O12 0.9827 0.8784 0.2697

(17)
Material: ErGa4
Method: DFT, PBE-GGA
State: relaxed

## Properties
Theoretical density, g/cm³: 7.8
Final energy, eV/atom: -3.73
ΔH_f (0 K), kcal/mol of atoms: -9.134
ΔE to the lowest computed polymorph, meV per atom: 0

a b c (Å): 7.9893 7.9893 7.9893
angles (deg): 148.96 133.43 57.03
Fractional coordinates of all 10 atoms:
Er1 0.3635 0.1135 0.2500
Er2 0.6365 0.8865 0.7500
Ga1 0.0000 0.5000 0.5000
Ga2 0.1472 0.8972 0.2500
Ga3 0.1630 0.6961 0.4669
Ga4 0.2707 0.3039 0.9669
Ga5 0.5000 0.5000 0.0000
Ga6 0.7293 0.6961 0.0331
Ga7 0.8370 0.3039 0.5331
Ga8 0.8528 0.1028 0.7500

(18)
Material: Cd2HgPd
Method: DFT, PBE-GGA
State: relaxed

## Properties
Theoretical density, g/cm³: 11.3
Final energy, eV/atom: -1.98
ΔH_f (0 K), kcal/mol of atoms: -3.329

a b c (Å): 4.4715 4.4715 3.9096
angles (deg): 90.00 90.00 90.00
Fractional coordinates of all 4 atoms:
Cd1 0.0000 0.5000 0.0000
Cd2 0.5000 0.0000 0.0000
Hg1 0.0000 0.0000 0.5000
Pd1 0.5000 0.5000 0.5000

(19)
Material: SrTaNi2
Method: DFT, PBE-GGA
State: relaxed

## Properties
Theoretical density, g/cm³: 8.6
Final energy, eV/atom: -6.29
ΔH_f (0 K), kcal/mol of atoms: -0.443
ΔE to the lowest computed polymorph, meV per atom: 0

a b c (Å): 3.2163 3.2316 7.1736
angles (deg): 90.00 90.07 90.00
Fractional coordinates of all 4 atoms:
Sr1 0.0000 0.0000 0.0000
Ta1 0.0000 0.0000 0.5000
Ni1 0.4989 0.5000 0.3247
Ni2 0.5011 0.5000 0.6753

(20)
Material: N
Method: DFT, PBE-GGA
State: relaxed

## Properties
Theoretical density, g/cm³: 0.9
Final energy, eV/atom: -8.33
ΔE to the lowest computed polymorph, meV per atom: 0
Formation energy without anion corrections, eV/atom: 0.000

a b c (Å): 5.8213 5.8213 5.8213
angles (deg): 90.00 90.00 90.00
Fractional coordinates of all 8 atoms:
N1 0.0534 0.4466 0.5534
N2 0.0570 0.0570 0.0570
N3 0.4430 0.9430 0.5570
N4 0.4466 0.5534 0.0534
N5 0.5534 0.0534 0.4466
N6 0.5570 0.4430 0.9430
N7 0.9430 0.5570 0.4430
N8 0.9466 0.9466 0.9466

(21)
Material: Be2V2SiNi5
Method: DFT, PBE-GGA
State: relaxed

## Properties
Theoretical density, g/cm³: 6.8
Final energy, eV/atom: -6.28
Formation energy without anion corrections, eV/atom: -0.276

a b c (Å): 9.0728 9.0728 2.6201
angles (deg): 90.00 90.00 90.00
Fractional coordinates of all 20 atoms:
Be1 0.1291 0.3709 0.0000
Be2 0.3709 0.8709 0.0000
Be3 0.6291 0.1291 0.0000
Be4 0.8709 0.6291 0.0000
V1 0.1785 0.6785 0.0000
V2 0.3215 0.1785 0.0000
V3 0.6785 0.8215 0.0000
V4 0.8215 0.3215 0.0000
Si1 0.0000 0.0000 0.0000
Si2 0.5000 0.5000 0.0000
Ni1 0.0000 0.5000 0.5000
Ni2 0.0450 0.2031 0.5000
Ni3 0.2031 0.9550 0.5000
Ni4 0.2969 0.4550 0.5000
Ni5 0.4550 0.7031 0.5000
Ni6 0.5000 0.0000 0.5000
Ni7 0.5450 0.2969 0.5000
Ni8 0.7031 0.5450 0.5000
Ni9 0.7969 0.0450 0.5000
Ni10 0.9550 0.7969 0.5000

(22)
Material: NaYTl2
Method: DFT, PBE-GGA
State: relaxed

## Properties
Theoretical density, g/cm³: 7.3
Final energy, eV/atom: -3.25
ΔH_f (0 K), kcal/mol of atoms: -2.826

a b c (Å): 10.4053 10.4053 10.4053
angles (deg): 20.24 20.24 20.24
Fractional coordinates of all 4 atoms:
Na1 0.0000 0.0000 0.0000
Y1 0.8331 0.8331 0.8331
Tl1 0.2495 0.2495 0.2495
Tl2 0.4168 0.4168 0.4168